First-principles (PBE) data for a relaxed structure of In3Sn3Pb, as listed in Alexandria via LeMat-Bulk.

Results
Offset from the most stable computed form: 0.000 eV per atom

Lattice parameters (Å, degrees): 6.972 7.346 8.415 70.29 88.12 76.31
Space group P-1 (No. 2)
One atom of each set of equivalent atoms:
1 In 0.031 0.358 0.218 x2
2 In 0.179 0.785 0.064 x2
3 In 0.244 0.497 0.498 x2
4 Sn 0.106 0.067 0.650 x2
5 Sn 0.310 0.216 0.931 x2
6 Sn 0.468 0.627 0.789 x2
7 Pb 0.391 0.929 0.353 x2

***

First-principles (PBE) data for a relaxed structure of PuMn2Tc, as listed in Alexandria via LeMat-Bulk.

Results
Offset from the most stable computed form: 0.000 eV per atom

Lattice parameters (Å, degrees): 2.981 2.981 7.160 90.00 90.00 90.00
Space group P4/mmm (No. 123)
One atom of each set of equivalent atoms:
1 Pu 0.000 0.000 0.000 x1
2 Mn 0.500 0.500 0.289 x2
3 Tc 0.000 0.000 0.500 x1

***

First-principles (PBE) data for a relaxed structure of PaSbIr, as listed in Alexandria via LeMat-Bulk.

Results
Raw total energy: -97.91 eV/cell

Lattice parameters (Å, degrees): 4.515 7.593 7.759 90.00 90.00 90.00
Space group Imm2 (No. 44)
One atom of each set of equivalent atoms:
1 Pa 0.000 0.000 0.000 x2
2 Pa 0.000 0.500 0.026 x2
3 Sb 0.000 0.256 0.675 x4
4 Ir 0.000 0.192 0.341 x4

***

First-principles (PBE) data for a relaxed structure of CoSi4Br, as listed in Alexandria via LeMat-Bulk.

Results
Raw total energy: -103.09 eV/cell

Lattice parameters (Å, degrees): 7.345 7.345 7.345 90.00 90.00 90.00
Space group F-43m (No. 216)
One atom of each set of equivalent atoms:
1 Co 0.000 0.000 0.000 x4
2 Si 0.125 0.125 0.375 x16
3 Br 0.250 0.250 0.750 x4

***

First-principles (PBE) data for a relaxed structure of Ca2TmGa4Ir3, as listed in Alexandria via LeMat-Bulk.

Results
Raw total energy: -52.91 eV/cell

Lattice parameters (Å, degrees): 4.106 4.106 11.881 90.00 90.00 90.00
Space group P-4m2 (No. 115)
One atom of each set of equivalent atoms:
1 Ca 0.000 0.500 0.224 x2
2 Tm 0.000 0.000 0.500 x1
3 Ga 0.000 0.000 0.000 x1
4 Ga 0.000 0.500 0.665 x2
5 Ga 0.500 0.500 0.000 x1
6 Ir 0.000 0.500 0.873 x2
7 Ir 0.500 0.500 0.500 x1

***

First-principles (PBE) data for a relaxed structure of Mg3ZrPt, as listed in Alexandria via LeMat-Bulk.

Results
Offset from the most stable computed form: 0.000 eV per atom

Lattice parameters (Å, degrees): 4.889 4.889 4.889 90.00 90.00 90.00
Space group Pm-3m (No. 221)
One atom of each set of equivalent atoms:
1 Mg 0.000 0.000 0.500 x3
2 Zr 0.500 0.500 0.500 x1
3 Pt 0.000 0.000 0.000 x1

***

First-principles (PBE) data for a relaxed structure of AcZrAg, as listed in Alexandria via LeMat-Bulk.

Results
Offset from the most stable computed form: 0.000 eV per atom

Lattice parameters (Å, degrees): 3.629 3.629 12.686 90.00 90.00 90.00
Space group I4mm (No. 107)
One atom of each set of equivalent atoms:
1 Ac 0.000 0.000 0.000 x2
2 Zr 0.000 0.000 0.307 x2
3 Ag 0.000 0.000 0.690 x2

***

First-principles (PBE) data for a relaxed structure of Tm2AgMo, as listed in Alexandria via LeMat-Bulk.

Results
Raw total energy: -22.58 eV/cell

Lattice parameters (Å, degrees): 3.471 3.471 7.304 90.00 90.00 90.00
Space group P4/mmm (No. 123)
One atom of each set of equivalent atoms:
1 Tm 0.000 0.000 0.232 x2
2 Ag 0.500 0.500 0.500 x1
3 Mo 0.500 0.500 0.000 x1

***

First-principles (PBE) data for a relaxed structure of AgWBr2, as listed in Alexandria via LeMat-Bulk.

Results
Offset from the most stable computed form: 0.196 eV per atom

Lattice parameters (Å, degrees): 3.110 3.110 8.847 90.00 90.00 90.00
Space group P4mm (No. 99)
One atom of each set of equivalent atoms:
1 Ag 0.000 0.000 0.000 x1
2 W 0.500 0.500 0.780 x1
3 Br 0.000 0.000 0.603 x1
4 Br 0.500 0.500 0.230 x1

***

First-principles (PBE) data for a relaxed structure of BaNaPu2Cl8, as listed in Alexandria via LeMat-Bulk.

Results
Raw total energy: -70.92 eV/cell

Lattice parameters (Å, degrees): 6.712 8.713 6.825 90.00 91.93 90.00
Space group P2/m (No. 10)
One atom of each set of equivalent atoms:
1 Ba 0.000 0.000 0.000 x1
2 Na 0.000 0.500 0.000 x1
3 Pu 0.500 0.260 0.500 x2
4 Cl 0.238 0.266 0.176 x4
5 Cl 0.284 0.500 0.660 x2
6 Cl 0.286 0.000 0.644 x2

***

First-principles (PBE) data for a relaxed structure of MnIn2Si, as listed in Alexandria via LeMat-Bulk.

Results
Offset from the most stable computed form: 0.362 eV per atom

Lattice parameters (Å, degrees): 6.894 6.894 6.894 90.00 90.00 90.00
Space group F-43m (No. 216)
One atom of each set of equivalent atoms:
1 Mn 0.000 0.000 0.000 x4
2 In 0.000 0.000 0.500 x4
3 In 0.250 0.250 0.250 x4
4 Si 0.250 0.250 0.750 x4

***

First-principles (PBE) data for a relaxed structure of La2FeSe, as listed in Alexandria via LeMat-Bulk.

Results
Raw total energy: -95.18 eV/cell

Lattice parameters (Å, degrees): 7.295 7.295 8.190 90.00 90.00 90.00
Space group I-42d (No. 122)
One atom of each set of equivalent atoms:
1 La 0.196 0.250 0.125 x8
2 Fe 0.000 0.000 0.000 x4
3 Se 0.000 0.000 0.500 x4

***

First-principles (PBE) data for a relaxed structure of TaBeSe2, as listed in Alexandria via LeMat-Bulk.

Results
Raw total energy: -45.83 eV/cell

Lattice parameters (Å, degrees): 3.378 4.608 8.145 90.00 90.00 90.00
Space group Immm (No. 71)
One atom of each set of equivalent atoms:
1 Ta 0.000 0.000 0.000 x2
2 Be 0.000 0.000 0.500 x2
3 Se 0.000 0.500 0.188 x4

***

First-principles (PBE) data for a relaxed structure of MnMoS, as listed in Alexandria via LeMat-Bulk.

Results
Offset from the most stable computed form: 0.022 eV per atom

Lattice parameters (Å, degrees): 4.120 2.999 8.534 90.00 95.24 90.00
Space group Pm (No. 6)
One atom of each set of equivalent atoms:
1 Mn 0.000 0.000 0.000 x1
2 Mn 0.437 0.000 0.806 x1
3 Mo 0.498 0.500 0.028 x1
4 Mo 0.923 0.500 0.730 x1
5 S 0.028 0.500 0.196 x1
6 S 0.610 0.000 0.560 x1

***

First-principles (PBE) data for a relaxed structure of Tm3Tl2Te, as listed in Alexandria via LeMat-Bulk.

Results
Raw total energy: -48.68 eV/cell

Lattice parameters (Å, degrees): 3.888 6.152 14.459 90.00 90.00 90.00
Space group Immm (No. 71)
One atom of each set of equivalent atoms:
1 Tm 0.000 0.000 0.000 x2
2 Tm 0.000 0.000 0.338 x4
3 Tl 0.000 0.500 0.331 x4
4 Te 0.000 0.500 0.000 x2

***

First-principles (PBE) data for a relaxed structure of LiHoInGe, as listed in Alexandria via LeMat-Bulk.

Results
Raw total energy: -61.03 eV/cell

Lattice parameters (Å, degrees): 7.047 7.047 7.047 90.00 90.00 90.00
Space group F-43m (No. 216)
One atom of each set of equivalent atoms:
1 Li 0.000 0.000 0.000 x4
2 Ho 0.000 0.000 0.500 x4
3 In 0.250 0.250 0.250 x4
4 Ge 0.250 0.250 0.750 x4

***

First-principles (PBE) data for a relaxed structure of TlGa2AgHg, as listed in Alexandria via LeMat-Bulk.

Results
Raw total energy: -9.75 eV/cell

Lattice parameters (Å, degrees): 5.186 5.186 5.362 90.00 90.00 90.00
Space group P4/mmm (No. 123)
One atom of each set of equivalent atoms:
1 Tl 0.000 0.000 0.000 x1
2 Ga 0.000 0.500 0.500 x2
3 Ag 0.500 0.500 0.000 x1
4 Hg 0.500 0.500 0.500 x1